The following is a DFT calculation (PBE-GGA) of an optimized crystal structure of DyEr9Tm2.

Computed properties:
ΔE_f ... 0.052 eV per atom
DOS at the Fermi energy ... 1.571 states/eV per atom
Total magnetic moment ... 0.000 μB per atom
Uncorrected energy ... -4.50 eV per atom
Energy above the lowest structure with this stoichiometry ... 28 meV/atom

a = 3.456 Å, b = 11.056 Å, c = 11.056 Å
α = 120.00°, β = 90.00°, γ = 90.00°
Fractional positions:
1 Er 0.500 0.823 0.646
2 Er 0.500 0.823 0.177
3 Er 0.500 0.354 0.177
4 Er 0.000 0.500 0.000
5 Er 0.000 0.500 0.500
6 Tm 0.000 0.333 0.667
7 Tm 0.000 0.667 0.333
8 Dy 0.000 0.000 0.000
9 Er 0.500 0.646 0.823
10 Er 0.500 0.177 0.354
11 Er 0.500 0.177 0.823
12 Er 0.000 0.000 0.500


The following is a DFT calculation (PBE-GGA) of an optimized crystal structure of AcEuAgGe.

Computed properties:
ΔE_f ... -0.504 eV per atom
DOS at the Fermi energy ... 2.480 states/eV per atom
Total magnetic moment ... 1.800 μB per atom
Uncorrected energy ... -5.97 eV per atom

a = 5.450 Å, b = 5.450 Å, c = 5.450 Å
α = 60.00°, β = 60.00°, γ = 60.00°
Site moments in Bohr magnetons follow the coordinates.
Fractional positions:
1 Eu 0.000 0.000 0.000  6.88
2 Ge 0.250 0.250 0.250  -0.03
3 Ac 0.500 0.500 0.500  0.04
4 Ag 0.750 0.750 0.750  0.01


The following is a DFT calculation (PBE-GGA) of an optimized crystal structure of Sr3ZrHg.

Computed properties:
ΔE_f ... 0.481 eV per atom
DOS at the Fermi energy ... 1.207 states/eV per atom
Total magnetic moment ... 0.634 μB per atom
Uncorrected energy ... -2.30 eV per atom
Energy above the lowest structure with this stoichiometry ... 0 meV/atom

a = 6.118 Å, b = 6.118 Å, c = 6.118 Å
α = 90.00°, β = 90.00°, γ = 90.00°
Site moments in Bohr magnetons follow the coordinates.
Fractional positions:
1 Sr 0.000 0.500 0.000  0.01
2 Zr 0.500 0.500 0.500  1.52
3 Sr 0.500 0.000 0.000  0.02
4 Sr 0.000 0.000 0.500  0.03
5 Hg 0.000 0.000 0.000  -0.05


The following is a DFT calculation (PBE-GGA) of an optimized crystal structure of Sm4PuCo5.

Computed properties:
ΔE_f ... 0.063 eV per atom
DOS at the Fermi energy ... 1.152 states/eV per atom
Total magnetic moment ... 0.188 μB per atom
Uncorrected energy ... -6.81 eV per atom

a = 4.771 Å, b = 6.946 Å, c = 6.946 Å
α = 83.23°, β = 69.91°, γ = 69.91°
Site moments in Bohr magnetons follow the coordinates.
Fractional positions:
1 Sm 0.481 0.713 0.287  0.04
2 Co 0.786 0.000 0.361  -0.51
3 Co 0.147 0.639 0.000  -0.51
4 Sm 0.194 0.287 0.287  0.04
5 Co 0.604 0.000 0.000  -0.24
6 Co 0.147 0.000 0.639  -0.51
7 Pu 0.093 0.000 0.000  3.87
8 Co 0.786 0.361 0.000  -0.51
9 Sm 0.769 0.713 0.713  0.04
10 Sm 0.481 0.287 0.713  0.04


The following is a DFT calculation (PBE-GGA) of an optimized crystal structure of RuCl3.

Computed properties:
DOS at the Fermi energy ... 1.065 states/eV per atom
Total magnetic moment ... 0.100 μB per atom
Raw formation energy ... -2.16 eV/f.u.
Uncorrected energy ... -4.24 eV per atom

a = 6.688 Å, b = 6.688 Å, c = 5.738 Å
α = 90.00°, β = 90.00°, γ = 120.00°
Site moments in Bohr magnetons follow the coordinates.
Fractional positions:
1 Cl 0.718 0.718 0.250  0.03
2 Ru 0.000 0.000 0.500  0.27
3 Cl 0.282 0.282 0.750  0.03
4 Cl 0.718 0.000 0.750  0.03
5 Ru 0.000 0.000 0.000  0.27
6 Cl 0.000 0.718 0.750  0.03
7 Cl 0.282 0.000 0.250  0.03
8 Cl 0.000 0.282 0.250  0.03


The following is a DFT calculation (PBE-GGA) of an optimized crystal structure of YBe2Co2.

Computed properties:
ΔE_f ... -0.219 eV per atom
DOS at the Fermi energy ... 0.469 states/eV per atom
Total magnetic moment ... 0.000 μB per atom
Uncorrected energy ... -5.84 eV per atom
Energy above the lowest structure with this stoichiometry ... 0 meV/atom

a = 3.940 Å, b = 3.940 Å, c = 5.069 Å
α = 112.87°, β = 112.87°, γ = 90.00°
Fractional positions:
1 Co 0.250 0.750 0.500
2 Co 0.750 0.250 0.500
3 Be 0.648 0.648 0.295
4 Be 0.352 0.352 0.705
5 Y 0.000 0.000 0.000


The following is a DFT calculation (PBE-GGA) of an optimized crystal structure of TaTi2N.

Computed properties:
DOS at the Fermi energy ... 0.553 states/eV per atom
Total magnetic moment ... 0.000 μB per atom
Raw formation energy ... -2.25 eV/f.u.
Uncorrected energy ... -9.55 eV per atom

a = 5.302 Å, b = 5.555 Å, c = 7.371 Å
α = 90.00°, β = 90.00°, γ = 90.00°
Fractional positions:
1 Ti 0.342 0.192 0.428
2 Ti 0.842 0.308 0.928
3 N 0.456 0.870 0.250
4 Ti 0.158 0.692 0.428
5 Ta 0.824 0.040 0.250
6 Ta 0.324 0.460 0.750
7 Ti 0.658 0.808 0.572
8 Ta 0.176 0.960 0.750
9 Ti 0.658 0.808 0.928
10 N 0.044 0.370 0.250
11 Ti 0.342 0.192 0.072
12 Ta 0.676 0.540 0.250
13 N 0.956 0.630 0.750
14 N 0.544 0.130 0.750
15 Ti 0.842 0.308 0.572
16 Ti 0.158 0.692 0.072


The following is a DFT calculation (PBE-GGA) of an optimized crystal structure of Cs3BiAu.

Computed properties:
ΔE_f ... -0.150 eV per atom
DOS at the Fermi energy ... 2.036 states/eV per atom
Total magnetic moment ... 0.200 μB per atom
Uncorrected energy ... -2.09 eV per atom
Energy above the lowest structure with this stoichiometry ... 157 meV/atom

a = 6.740 Å, b = 6.740 Å, c = 6.740 Å
α = 90.00°, β = 90.00°, γ = 90.00°
Site moments in Bohr magnetons follow the coordinates.
Fractional positions:
1 Bi 0.500 0.500 0.500  0.54
2 Cs 0.000 0.000 0.500  0.00
3 Au 0.000 0.000 0.000  0.00
4 Cs 0.000 0.500 0.000  0.00
5 Cs 0.500 0.000 0.000  0.01